GeBiAs2Se | PBE | optimized geometry

Cell lengths 5.4051, 5.4051, 5.5104 Å; angles 90.00, 90.00, 90.00 degrees
Last column: nearest neighbours and their distance in Å.
Space group P4/mmm (No. 123)
Symmetry-distinct sites (fractional):
1 Ge 0.0000 0.0000 0.0000 (multiplicity 1)  4 Se 3.82, 8 As 3.86
2 Bi 0.5000 0.5000 0.5000 (multiplicity 1)  4 As 2.70, 2 Se 2.76
3 As 0.0000 0.5000 0.5000 (multiplicity 2)  2 Bi 2.70
4 Se 0.5000 0.5000 0.0000 (multiplicity 1)  2 Bi 2.76

Raw formation energy ... 5.07 eV/f.u.
Offset from the most stable computed form ... 0.539 eV per atom

Sm8Tl2Rh | PBE | optimized geometry

Cell lengths 18.9621, 5.1090, 6.9595 Å; angles 90.00, 100.12, 90.00 degrees
Last column: nearest neighbours and their distance in Å.
Space group C2/m (No. 12)
Symmetry-distinct sites (fractional):
1 Sm 0.0160 0.0000 0.2744 (multiplicity 4)  2 Rh 3.04, 1 Tl 3.26, 1 Sm 3.30
2 Sm 0.0896 0.5000 0.9655 (multiplicity 4)  1 Rh 3.38, 9 Sm 3.49-3.76, 2 Tl 3.58
3 Sm 0.1446 0.5000 0.4892 (multiplicity 4)  1 Rh 2.76
4 Sm 0.2073 0.0000 0.8171 (multiplicity 4)  3 Tl 3.17-3.35, 2 Sm 3.49
5 Tl 0.1870 0.0000 0.2600 (multiplicity 4)  7 Sm 3.17-3.36
6 Rh 0.0000 0.5000 0.5000 (multiplicity 2)  6 Sm 2.76-3.04

Offset from the most stable computed form ... 0.000 eV per atom
ΔE_f ... -262 meV/atom

Ba8PdN2 | PBE | optimized geometry

Cell lengths 15.0016, 10.5264, 7.4357 Å; angles 90.00, 91.34, 90.00 degrees
Last column: nearest neighbours and their distance in Å.
Space group C2/m (No. 12)
Symmetry-distinct sites (fractional):
1 Ba 0.1111 0.1905 0.2613 (multiplicity 8)  1 N 2.55
2 Ba 0.1487 0.5000 0.7673 (multiplicity 4)  1 N 2.46
3 Ba 0.1686 0.0000 0.7948 (multiplicity 4)  1 N 2.55
4 Pd 0.0000 0.0000 0.5000 (multiplicity 2)  6 Ba 3.18-3.31
5 N 0.1934 0.0000 0.1350 (multiplicity 4)  4 Ba 2.46-2.55

Raw formation energy ... -3.33 eV/f.u.

Ce3Pa5N12 | PBE | optimized geometry

Cell lengths 14.1004, 14.1004, 14.1004 Å; angles 90.00, 90.00, 90.00 degrees
Last column: nearest neighbours and their distance in Å.
Space group Ia-3d (No. 230)
Symmetry-distinct sites (fractional):
1 Ce 0.0000 0.2500 0.1250 (multiplicity 24)  4 N 2.39
2 Pa 0.0000 0.0000 0.0000 (multiplicity 16)  6 N 2.28
3 Pa 0.0000 0.2500 0.3750 (multiplicity 24)  4 N 2.14
4 N 0.0115 0.0374 0.6569 (multiplicity 96)  2 Pa 2.14-2.28, 1 Ce 2.39

Raw formation energy ... -27.38 eV/f.u.